Here is crystalline Al2AgI8 at its relaxed geometry from Alexandria via LeMat-Bulk. Energies are from PBE.

a = 7.494 Å, b = 8.586 Å, c = 8.586 Å
α = 77.92°, β = 92.16°, γ = 92.16°
Sites, in units of the cell vectors:
I: 0.220 0.395 0.395
I: 0.193 0.296 0.931
I: 0.668 0.216 0.216
I: 0.332 0.784 0.784
I: 0.780 0.605 0.605
I: 0.807 0.069 0.704
I: 0.193 0.931 0.296
I: 0.807 0.704 0.069
Ag: 0.000 0.000 0.000
Al: 0.330 0.221 0.221
Al: 0.670 0.779 0.779

## Properties
The energy above the lowest structure with this stoichiometry is 0 meV/atom. Its calculated volume is 539.6 Å³/cell. The calculation puts the formation energy from raw total energies at -0.5034 eV/atom. The space group is C2/m (12). For the density of states at the Fermi level, the calculation gives 0.542 states/eV/atom.